No. 1
DFT (PBE-GGA) results for BaAs2Au after structural relaxation.

abc: 6.1702 6.1702 6.1702
angles: 45.19 45.19 45.19
Closest atoms and distances in Å follow each position.
Fractional coordinates of all 4 atoms:
As (0.9577, 0.9577, 0.9577)  3 As 2.84, 3 Au 3.05
As (0.2455, 0.2455, 0.2455)  3 Au 2.80, 3 As 2.84
Ba (0.7529, 0.7529, 0.7529)  7 As 3.40-3.80, 4 Au 3.43-3.47
Au (0.5439, 0.5439, 0.5439)  6 As 2.80-3.05

Computed properties:
Its total magnetization is 0.000 μB per cell. As for the space group: No. 160. Its density of states at the Fermi level is 0.64 states/eV/atom. The calculated formation energy is -0.433 eV per atom.


No. 2
DFT (PBE-GGA) results for Ba3As2Au3 after structural relaxation.

abc: 4.5636 6.5456 17.7069
angles: 90.00 90.00 110.40
Closest atoms and distances in Å follow each position.
Fractional coordinates of all 16 atoms:
As (0.1515, 0.3030, 0.3906)  2 Au 2.60
As (0.8485, 0.6970, 0.8906)  2 Au 2.60
Ba (0.1336, 0.2673, 0.5871)  4 As 3.49-3.52, 7 Au 3.50-3.71
Au (0.4190, 0.8379, 0.9421)  2 As 2.60, 1 Au 2.86
Ba (0.8664, 0.7327, 0.0871)  4 As 3.49-3.52, 7 Au 3.50-3.71
Au (0.3260, 0.6519, 0.2500)  2 As 3.28, 3 Ba 3.40-3.56
As (0.8485, 0.6970, 0.6094)  2 Au 2.60
Au (0.5810, 0.1621, 0.4421)  2 As 2.60, 1 Au 2.86
Au (0.6740, 0.3481, 0.7500)  2 As 3.28, 3 Ba 3.40-3.56
Au (0.5810, 0.1621, 0.0579)  2 As 2.60, 1 Au 2.86
Au (0.4190, 0.8379, 0.5579)  2 As 2.60, 1 Au 2.86
As (0.1515, 0.3030, 0.1094)  2 Au 2.60
Ba (0.8664, 0.7327, 0.4129)  4 As 3.49-3.52, 7 Au 3.50-3.71
Ba (0.1336, 0.2673, 0.9129)  4 As 3.49-3.52, 7 Au 3.50-3.71
Ba (0.6028, 0.2057, 0.2500)  5 Au 3.40-3.56, 4 As 3.43
Ba (0.3972, 0.7943, 0.7500)  5 Au 3.40-3.56, 4 As 3.43

Computed properties:
Its total magnetization is 0.000 μB per cell. As for the space group: No. 63. Its density of states at the Fermi level is 0.35 states/eV/atom. The calculated formation energy is -0.837 eV per atom.


No. 3
DFT (PBE-GGA) results for BaAs2Au after structural relaxation.

abc: 5.8556 5.8556 5.8556
angles: 140.67 119.26 74.79
Closest atoms and distances in Å follow each position.
Fractional coordinates of all 4 atoms:
Au (0.4578, 0.4578, 0.0000)  2 As 2.89
Ba (0.7559, 0.2559, 0.5000)  4 Au 3.40-3.51, 8 As 3.41-3.56
As (0.0551, 0.0551, 0.0000)  2 As 2.56
As (0.2312, 0.7312, 0.5000)  2 As 2.56

Computed properties:
Its total magnetization is 0.000 μB per cell. As for the space group: No. 44. Its density of states at the Fermi level is 0.36 states/eV/atom. The calculated formation energy is -0.369 eV per atom.